Sm3YHo3 (PBE-GGA, relaxed); total magnetization = 0.0 μB/f.u.; electronic total energy = -68.494 eV per cell; V = 32.69 Å³/atom; symmetry = P6_3/m
1.0
5.723 0.000 0.000
0.000 9.610 -0.001
0.000 -4.803 8.323
Sm Y Ho
6 2 6
direct
0.750 0.046 0.240
0.750 0.194 0.954
0.250 0.954 0.760
0.250 0.240 0.194
0.750 0.760 0.806
0.250 0.806 0.046
0.750 0.333 0.667
0.250 0.667 0.333
0.750 0.906 0.524
0.750 0.618 0.094
0.250 0.094 0.476
0.250 0.382 0.906
0.250 0.523 0.618
0.750 0.477 0.382